# 1
## ReOs (PBE)

Data for an optimized crystal structure of ReOs.

Calculated values
As for the total energy: -47.04 eV/cell. Its total magnetization is 0.0 μB per cell. As for the formation energy: 0.08 eV/atom. The energy above the most stable polymorph in this dataset is 172 meV/atom.

a = 2.744 Å, b = 2.744 Å, c = 7.821 Å
α = 90.00°, β = 90.00°, γ = 90.00°
Fractional coordinates of all 4 atoms:
Re1 0.250 0.250 0.134
Re2 0.750 0.750 0.866
Os1 0.250 0.250 0.629
Os2 0.750 0.750 0.371

# 2
## BaZn4Fe (PBE)

Data for an optimized crystal structure of BaZn4Fe.

Calculated values
As for the total energy: -14.19 eV/cell. Its total magnetization is 2.2 μB per cell. As for the formation energy: 0.21 eV/atom.

a = 5.475 Å, b = 5.475 Å, c = 5.475 Å
α = 60.00°, β = 60.00°, γ = 60.00°
Fractional coordinates of all 6 atoms:
Ba1 0.000 0.000 0.000
Zn1 0.378 0.378 0.378
Zn2 0.378 0.378 0.865
Zn3 0.378 0.865 0.378
Zn4 0.865 0.378 0.378
Fe1 0.750 0.750 0.750

# 3
## Mg2CrCd (PBE)

Data for an optimized crystal structure of Mg2CrCd.

Calculated values
As for the total energy: -13.00 eV/cell. Its total magnetization is 4.2 μB per cell. As for the formation energy: 0.18 eV/atom.

a = 5.300 Å, b = 5.300 Å, c = 4.269 Å
α = 113.62°, β = 113.62°, γ = 47.24°
Fractional coordinates of all 4 atoms:
Mg1 0.000 0.000 0.000
Mg2 0.250 0.250 0.750
Cr1 0.750 0.750 0.250
Cd1 0.500 0.500 0.500

# 4
## ScGeNF (PBE)

Data for an optimized crystal structure of ScGeNF.

Calculated values
As for the total energy: -27.59 eV/cell. Its total magnetization is 0.0 μB per cell. The energy above the most stable polymorph in this dataset is 156 meV/atom.

a = 3.162 Å, b = 3.162 Å, c = 8.137 Å
α = 106.12°, β = 106.12°, γ = 59.51°
Fractional coordinates of all 4 atoms:
Sc1 0.000 0.000 0.000
Ge1 0.486 0.486 0.617
N1 0.602 0.602 0.861
F1 0.747 0.747 0.177

# 5
## AcNpRuO6 (PBE)

Data for an optimized crystal structure of AcNpRuO6.

Calculated values
As for the total energy: -150.85 eV/cell. Its total magnetization is 3.9 μB per cell.

a = 5.835 Å, b = 5.835 Å, c = 8.528 Å
α = 90.00°, β = 90.00°, γ = 120.00°
Fractional coordinates of all 18 atoms:
Ac1 0.333 0.667 0.250
Ac2 0.667 0.333 0.750
Np1 0.333 0.667 0.750
Np2 0.667 0.333 0.250
Ru1 0.000 0.000 0.000
Ru2 0.000 0.000 0.500
O1 0.060 0.341 0.616
O2 0.060 0.720 0.884
O3 0.280 0.341 0.884
O4 0.280 0.940 0.616
O5 0.341 0.060 0.116
O6 0.341 0.280 0.384
O7 0.659 0.720 0.616
O8 0.659 0.940 0.884
O9 0.720 0.060 0.384
O10 0.720 0.659 0.116
O11 0.940 0.280 0.116
O12 0.940 0.659 0.384

# 6
## TaBi3Pt (PBE)

Data for an optimized crystal structure of TaBi3Pt.

Calculated values
As for the total energy: -24.10 eV/cell. Its total magnetization is 2.3 μB per cell. As for the formation energy: 1.09 eV/atom. The energy above the most stable polymorph in this dataset is 184 meV/atom.

a = 5.348 Å, b = 5.348 Å, c = 5.348 Å
α = 90.00°, β = 90.00°, γ = 90.00°
Fractional coordinates of all 5 atoms:
Ta1 0.000 0.000 0.000
Bi1 0.000 0.500 0.500
Bi2 0.500 0.000 0.500
Bi3 0.500 0.500 0.000
Pt1 0.500 0.500 0.500

# 7
## Li4Mg4Ga3 (PBE)

Data for an optimized crystal structure of Li4Mg4Ga3.

Calculated values
As for the total energy: -24.97 eV/cell. Its total magnetization is 0.0 μB per cell. As for the formation energy: -0.17 eV/atom.

a = 3.009 Å, b = 4.546 Å, c = 14.979 Å
α = 81.45°, β = 89.44°, γ = 89.66°
Fractional coordinates of all 11 atoms:
Li1 0.173 0.043 0.416
Li2 0.241 0.680 0.139
Li3 0.759 0.320 0.861
Li4 0.827 0.957 0.584
Mg1 0.238 0.408 0.684
Mg2 0.248 0.779 0.942
Mg3 0.752 0.221 0.058
Mg4 0.762 0.592 0.316
Ga1 0.287 0.134 0.233
Ga2 0.500 0.500 0.500
Ga3 0.713 0.866 0.767

# 8
## Sc2CrP (PBE)

Data for an optimized crystal structure of Sc2CrP.

Calculated values
As for the total energy: -29.21 eV/cell. Its total magnetization is 2.4 μB per cell. As for the formation energy: -0.38 eV/atom.

a = 5.393 Å, b = 5.393 Å, c = 4.506 Å
α = 108.87°, β = 108.87°, γ = 34.69°
Fractional coordinates of all 4 atoms:
Sc1 0.000 0.000 0.000
Sc2 0.214 0.214 0.660
Cr1 0.424 0.424 0.421
P1 0.750 0.750 0.174